A plane-wave DFT calculation with PBE was carried out for an optimized crystal structure of MgZrSe2.

Results
Calculated volume, Å³ per atom: 27.5
Calculated density, Mg/m³: 4.1
Space-group type: I-42d
Raw total energy, Ry per atom: -0.3700

a b c (Å): 6.2294 6.2294 7.1728
angles (deg): 64.26 64.26 90.00
Closest atoms and distances in Å follow each position.
Fractional positions:
1 Mg 0.5000 0.5000 0.0000  4 Se 2.58
2 Mg 0.2500 0.7500 0.5000  4 Se 2.58
3 Se 0.6134 0.1250 0.2500  2 Mg 2.58, 2 Zr 2.66
4 Se 0.1366 0.6250 0.2500  2 Mg 2.58, 2 Zr 2.66
5 Se 0.3750 0.3866 0.7500  2 Mg 2.58, 2 Zr 2.66
6 Se 0.8750 0.8634 0.7500  2 Mg 2.58, 2 Zr 2.66
7 Zr 0.0000 0.0000 0.0000  4 Se 2.66
8 Zr 0.7500 0.2500 0.5000  4 Se 2.66

A plane-wave DFT calculation with PBE was carried out for an optimized crystal structure of BaAcPr2.

Results
Energy above the lowest structure with this stoichiometry, meV/atom: 14
Calculated volume, Å³ per atom: 42.8
Calculated density, Mg/m³: 6.3
Energy of formation, eV/atom: 0.115
Space-group type: R3m
Raw total energy, Ry per atom: -0.2780

a b c (Å): 3.9173 3.9173 13.0724
angles (deg): 81.38 81.38 60.00
Closest atoms and distances in Å follow each position.
Fractional positions:
1 Ba 0.6664 0.6664 0.0007  6 Ba 3.92, 6 Pr 4.04-4.06
2 Ac 0.5003 0.5003 0.4990  6 Pr 3.81-3.83, 6 Ac 3.92
3 Pr 0.0869 0.0869 0.7392  3 Ac 3.83, 6 Pr 3.92, 3 Ba 4.06
4 Pr 0.2463 0.2463 0.2611  3 Ac 3.81, 6 Pr 3.92, 3 Ba 4.04

A plane-wave DFT calculation with PBE was carried out for an optimized crystal structure of RbBe4.

Results
Calculated volume, Å³ per atom: 54.5
Calculated density, Mg/m³: 0.7
Energy of formation, eV/atom: 2.770
Space-group type: Pm-3m
Raw total energy, Ry per atom: -0.0297

a b c (Å): 6.4813 6.4813 6.4813
angles (deg): 90.00 90.00 90.00
Closest atoms and distances in Å follow each position.
Fractional positions:
1 Be 0.0000 0.0000 0.0000  12 Be 4.58
2 Be 0.5000 0.0000 0.5000  2 Rb 3.24
3 Be 0.0000 0.5000 0.5000  2 Rb 3.24
4 Be 0.5000 0.5000 0.0000  2 Rb 3.24
5 Rb 0.5000 0.5000 0.5000  6 Be 3.24

A plane-wave DFT calculation with PBE was carried out for an optimized crystal structure of RbNaZrN2.

Results
Calculated volume, Å³ per atom: 17.7
Calculated density, Mg/m³: 4.3
Space-group type: P4/mmm
Raw total energy, Ry per atom: -0.2656

a b c (Å): 4.5163 4.3437 4.5163
angles (deg): 90.00 90.00 90.00
Closest atoms and distances in Å follow each position.
Fractional positions:
1 Na 0.0000 0.0000 0.0000  2 Rb 2.17, 4 N 2.26
2 Rb 0.0000 0.5000 0.0000  2 Na 2.17
3 Zr 0.5000 0.5000 0.5000  8 N 3.13, 4 Rb 3.19
4 N 0.0000 0.0000 0.5000  2 Na 2.26
5 N 0.5000 0.0000 0.0000  2 Na 2.26

A plane-wave DFT calculation with PBE was carried out for an optimized crystal structure of ScMoP2S.

Results
Energy above the lowest structure with this stoichiometry, meV/atom: 0
Calculated volume, Å³ per atom: 20.5
Calculated density, Mg/m³: 3.8
Space-group type: P4/mmm
Raw total energy, Ry per atom: -0.4713

a b c (Å): 4.6872 4.6872 4.6670
angles (deg): 90.00 90.00 90.00
Closest atoms and distances in Å follow each position.
Fractional positions:
1 Sc 0.5000 0.5000 0.5000  8 P 3.31, 4 S 3.31
2 P 0.0000 0.5000 0.0000  2 Mo 2.34
3 P 0.5000 0.0000 0.0000  2 Mo 2.34
4 Mo 0.0000 0.0000 0.0000  2 S 2.33, 4 P 2.34
5 S 0.0000 0.0000 0.5000  2 Mo 2.33

A plane-wave DFT calculation with PBE was carried out for an optimized crystal structure of Rb12Hg5Cl3.

Results
Calculated volume, Å³ per atom: 57.9
Calculated density, Mg/m³: 3.1
Space-group type: Ia-3d
Raw total energy, Ry per atom: -0.1040

a b c (Å): 18.1859 18.1859 18.1859
angles (deg): 109.47 109.47 109.47
Closest atoms and distances in Å follow each position.
Fractional positions:
1 Cl 0.7500 0.3750 0.1250  4 Rb 3.41
2 Cl 0.8750 0.7500 0.1250  4 Rb 3.41
3 Cl 0.3750 0.7500 0.6250  4 Rb 3.41
4 Cl 0.2500 0.1250 0.3750  4 Rb 3.41
5 Cl 0.8750 0.1250 0.2500  4 Rb 3.41
6 Cl 0.3750 0.6250 0.2500  4 Rb 3.41
7 Cl 0.6250 0.3750 0.7500  4 Rb 3.41
8 Cl 0.1250 0.8750 0.7500  4 Rb 3.41
9 Cl 0.7500 0.8750 0.6250  4 Rb 3.41
10 Cl 0.6250 0.2500 0.3750  4 Rb 3.41
11 Cl 0.1250 0.2500 0.8750  4 Rb 3.41
12 Cl 0.2500 0.6250 0.8750  4 Rb 3.41
13 Hg 0.1250 0.3750 0.2500  4 Rb 3.56
14 Hg 0.0000 0.5000 0.0000  6 Rb 3.66
15 Hg 0.0000 0.0000 0.0000  6 Rb 3.66
16 Hg 0.3750 0.2500 0.1250  4 Rb 3.56
17 Hg 0.5000 0.0000 0.5000  6 Rb 3.66
18 Hg 0.5000 0.5000 0.0000  6 Rb 3.66
19 Hg 0.1250 0.7500 0.3750  4 Rb 3.56
20 Hg 0.7500 0.1250 0.8750  4 Rb 3.56
21 Hg 0.7500 0.6250 0.3750  4 Rb 3.56
22 Hg 0.3750 0.1250 0.7500  4 Rb 3.56
23 Hg 0.6250 0.8750 0.2500  4 Rb 3.56
24 Hg 0.5000 0.5000 0.5000  6 Rb 3.66
25 Hg 0.5000 0.0000 0.0000  6 Rb 3.66
26 Hg 0.0000 0.0000 0.5000  6 Rb 3.66
27 Hg 0.2500 0.3750 0.6250  4 Rb 3.56
28 Hg 0.2500 0.8750 0.1250  4 Rb 3.56
29 Hg 0.0000 0.5000 0.5000  6 Rb 3.66
30 Hg 0.8750 0.2500 0.6250  4 Rb 3.56
31 Hg 0.6250 0.7500 0.8750  4 Rb 3.56
32 Hg 0.8750 0.6250 0.7500  4 Rb 3.56
33 Rb 0.7372 0.1194 0.0646  1 Cl 3.41, 2 Hg 3.56-3.66
34 Rb 0.3273 0.5646 0.4452  1 Cl 3.41, 2 Hg 3.56-3.66
35 Rb 0.9354 0.3806 0.2628  1 Cl 3.41, 2 Hg 3.56-3.66
36 Rb 0.5646 0.2372 0.1194  1 Cl 3.41, 2 Hg 3.56-3.66
37 Rb 0.6178 0.7372 0.6727  1 Cl 3.41, 2 Hg 3.56-3.66
38 Rb 0.9354 0.5548 0.1727  1 Cl 3.41, 2 Hg 3.56-3.66
39 Rb 0.3273 0.7628 0.3822  1 Cl 3.41, 2 Hg 3.56-3.66
40 Rb 0.0548 0.8822 0.1194  1 Cl 3.41, 2 Hg 3.56-3.66
41 Rb 0.5548 0.9354 0.6727  1 Cl 3.41, 2 Hg 3.56-3.66
42 Rb 0.7372 0.6178 0.1727  1 Cl 3.41, 2 Hg 3.56-3.66
43 Rb 0.7628 0.4354 0.3806  1 Cl 3.41, 2 Hg 3.56-3.66
44 Rb 0.8273 0.9452 0.0646  1 Cl 3.41, 2 Hg 3.56-3.66
45 Rb 0.1194 0.7372 0.5646  1 Cl 3.41, 2 Hg 3.56-3.66
46 Rb 0.3806 0.4452 0.1178  1 Cl 3.41, 2 Hg 3.56-3.66
47 Rb 0.1178 0.9452 0.3806  1 Cl 3.41, 2 Hg 3.56-3.66
48 Rb 0.3822 0.1194 0.5548  1 Cl 3.41, 2 Hg 3.56-3.66
49 Rb 0.1178 0.1727 0.2372  1 Cl 3.41, 2 Hg 3.56-3.66
50 Rb 0.4354 0.6727 0.0548  1 Cl 3.41, 2 Hg 3.56-3.66
51 Rb 0.8273 0.8822 0.2628  1 Cl 3.41, 2 Hg 3.56-3.66
52 Rb 0.1194 0.3822 0.0548  1 Cl 3.41, 2 Hg 3.56-3.66
53 Rb 0.3806 0.9354 0.7628  1 Cl 3.41, 2 Hg 3.56-3.66
54 Rb 0.5548 0.6194 0.3822  1 Cl 3.41, 2 Hg 3.56-3.66
55 Rb 0.9452 0.8273 0.5646  1 Cl 3.41, 2 Hg 3.56-3.66
56 Rb 0.7628 0.3273 0.8822  1 Cl 3.41, 2 Hg 3.56-3.66
57 Rb 0.4452 0.3806 0.6178  1 Cl 3.41, 2 Hg 3.56-3.66
58 Rb 0.0548 0.1727 0.4354  1 Cl 3.41, 2 Hg 3.56-3.66
59 Rb 0.2372 0.6727 0.1178  1 Cl 3.41, 2 Hg 3.56-3.66
60 Rb 0.1727 0.1178 0.7372  1 Cl 3.41, 2 Hg 3.56-3.66
61 Rb 0.6194 0.0646 0.2372  1 Cl 3.41, 2 Hg 3.56-3.66
62 Rb 0.8806 0.6178 0.9452  1 Cl 3.41, 2 Hg 3.56-3.66
63 Rb 0.5646 0.3273 0.9452  1 Cl 3.41, 2 Hg 3.56-3.66
64 Rb 0.6178 0.8806 0.4452  1 Cl 3.41, 2 Hg 3.56-3.66
65 Rb 0.8822 0.8273 0.7628  1 Cl 3.41, 2 Hg 3.56-3.66
66 Rb 0.8822 0.0548 0.6194  1 Cl 3.41, 2 Hg 3.56-3.66
67 Rb 0.8806 0.2628 0.4354  1 Cl 3.41, 2 Hg 3.56-3.66
68 Rb 0.1727 0.0548 0.9354  1 Cl 3.41, 2 Hg 3.56-3.66
69 Rb 0.6194 0.5548 0.8822  1 Cl 3.41, 2 Hg 3.56-3.66
70 Rb 0.4452 0.0646 0.3273  1 Cl 3.41, 2 Hg 3.56-3.66
71 Rb 0.2628 0.3822 0.8273  1 Cl 3.41, 2 Hg 3.56-3.66
72 Rb 0.2372 0.5646 0.6194  1 Cl 3.41, 2 Hg 3.56-3.66
73 Rb 0.9452 0.1178 0.8806  1 Cl 3.41, 2 Hg 3.56-3.66
74 Rb 0.6727 0.2372 0.6178  1 Cl 3.41, 2 Hg 3.56-3.66
75 Rb 0.4354 0.7628 0.8806  1 Cl 3.41, 2 Hg 3.56-3.66
76 Rb 0.0646 0.4452 0.8273  1 Cl 3.41, 2 Hg 3.56-3.66
77 Rb 0.3822 0.2628 0.3273  1 Cl 3.41, 2 Hg 3.56-3.66
78 Rb 0.0646 0.6194 0.7372  1 Cl 3.41, 2 Hg 3.56-3.66
79 Rb 0.6727 0.4354 0.5548  1 Cl 3.41, 2 Hg 3.56-3.66
80 Rb 0.2628 0.8806 0.9354  1 Cl 3.41, 2 Hg 3.56-3.66

A plane-wave DFT calculation with PBE was carried out for an optimized crystal structure of Ba2LaRu.

Results
Energy above the lowest structure with this stoichiometry, meV/atom: 0
Calculated volume, Å³ per atom: 43.3
Calculated density, Mg/m³: 4.9
Energy of formation, eV/atom: 0.061
Space-group type: Cm
Raw total energy, Ry per atom: -0.3272

a b c (Å): 4.4718 4.4718 10.3517
angles (deg): 77.79 77.79 59.64
Closest atoms and distances in Å follow each position.
Fractional positions:
1 Ba 0.9664 0.9664 0.0966  3 Ru 3.38-3.40
2 Ba 0.7651 0.7651 0.6999  3 La 4.04-4.07, 6 Ba 4.45-4.47
3 La 0.5384 0.5384 0.3881  3 Ru 2.68
4 Ru 0.2301 0.2301 0.3154  3 La 2.68

A plane-wave DFT calculation with PBE was carried out for an optimized crystal structure of Na3Sr2Tl4Pb2.

Results
Calculated volume, Å³ per atom: 36.2
Calculated density, Mg/m³: 6.2
Energy of formation, eV/atom: -0.063
Space-group type: I4/mmm
Raw total energy, Ry per atom: -0.1663

a b c (Å): 5.1718 5.1718 15.3279
angles (deg): 99.71 99.71 90.00
Closest atoms and distances in Å follow each position.
Fractional positions:
1 Na 0.0000 0.0000 0.0000  8 Pb 3.98, 8 Tl 4.27
2 Na 0.1803 0.1803 0.3606  4 Tl 3.25
3 Na 0.8197 0.8197 0.6394  4 Tl 3.25
4 Sr 0.3063 0.3063 0.6126  4 Tl 3.50, 5 Na 3.68-3.75
5 Sr 0.6937 0.6937 0.3874  4 Tl 3.50, 5 Na 3.68-3.75
6 Tl 0.3857 0.8857 0.7715  2 Pb 3.17, 2 Na 3.25, 2 Sr 3.50
7 Tl 0.8857 0.3857 0.7715  2 Pb 3.17, 2 Na 3.25, 2 Sr 3.50
8 Tl 0.1143 0.6143 0.2285  2 Pb 3.17, 2 Na 3.25, 2 Sr 3.50
9 Tl 0.6143 0.1143 0.2285  2 Pb 3.17, 2 Na 3.25, 2 Sr 3.50
10 Pb 0.4473 0.4473 0.8946  1 Pb 3.14, 4 Tl 3.17
11 Pb 0.5527 0.5527 0.1054  1 Pb 3.14, 4 Tl 3.17